Entry 1:
Below is CuSbPb2 after structural relaxation, with properties calculated at the PBE level.

Computed properties:
Symmetry: I4/mmm, No. 139
Fermi-level density of states in states/eV per atom: 0.5447
Formation energy from raw total energies in eV/atom: 0.2925
Final energy in eV/atom: -3.616

a b c (Å): 5.8745 5.8745 5.8745
angles (deg): 133.43 133.43 67.99
Last column: nearest neighbours and their distance in Å.
Element x y z (fractional)
Cu (0.0000, 0.0000, 0.0000)  4 Sb 3.28, 8 Pb 3.37
Sb (0.5000, 0.5000, 0.0000)  4 Cu 3.28, 8 Pb 3.37
Pb (0.2500, 0.7500, 0.5000)  4 Pb 3.28, 4 Sb 3.37, 4 Cu 3.37
Pb (0.7500, 0.2500, 0.5000)  4 Pb 3.28, 4 Sb 3.37, 4 Cu 3.37



Entry 2:
Below is Cu2SbPb after structural relaxation, with properties calculated at the PBE level.

Computed properties:
Symmetry: P2/m, No. 10
Fermi-level density of states in states/eV per atom: 0.3769
Formation energy from raw total energies in eV/atom: 0.2501
Final energy in eV/atom: -3.756

a b c (Å): 3.3385 3.7265 6.8297
angles (deg): 90.00 100.70 90.00
Last column: nearest neighbours and their distance in Å.
Element x y z (fractional)
Cu (0.0651, 0.0000, 0.1937)  1 Cu 2.60, 4 Sb 2.80-2.84
Cu (0.9349, 0.0000, 0.8063)  1 Cu 2.60, 4 Sb 2.80-2.84
Sb (0.5000, 0.5000, 0.0000)  8 Cu 2.80-2.84
Pb (0.5000, 0.5000, 0.5000)  4 Cu 2.97



Number 1: total magnetic moment 0.00 μB per formula unit. Number 2: total magnetic moment 0.00 μB per formula unit.